This record from the Alexandria database describes a relaxed Nd2NiSn4 crystal. The functional is PBE.

```
7
Lattice="4.900 0.000 0.000 0.000 4.900 0.000 -2.450 -2.450 8.020" Properties=species:S:1:pos:R:3 pbc="T T T"
Nd 0.000 0.000 5.713
Nd 2.450 2.450 2.307
Ni 0.000 0.000 0.000
Sn 0.000 0.000 2.601
Sn 2.450 2.450 5.419
Sn 0.000 2.450 0.000
Sn 2.450 0.000 0.000
```

Calculated values
**Energy of formation from the pure elements**: -33.67 kJ/mol of atoms
**Raw total energy**: -33.77 eV for the cell shown

---

This record from the Alexandria database describes a relaxed Nd2Ni2Sn crystal. The functional is PBE.

```
5
Lattice="4.330 0.000 0.000 2.165 5.202 0.160 2.165 1.832 4.871" Properties=species:S:1:pos:R:3 pbc="T T T"
Ni 4.330 4.223 1.528
Ni 4.330 2.811 3.503
Nd 6.495 4.943 3.535
Nd 2.165 2.091 1.496
Sn 0.000 0.000 0.000
```

Calculated values
**Energy of formation from the pure elements**: -50.23 kJ/mol of atoms
**Raw total energy**: -27.70 eV for the cell shown

---

This record from the Alexandria database describes a relaxed Nd3Ni4Sn4 crystal. The functional is PBE.

```
11
Lattice="4.520 0.000 0.000 0.000 4.226 0.000 -2.260 -2.113 12.746" Properties=species:S:1:pos:R:3 pbc="T T T"
Nd 0.000 2.113 8.808
Nd 2.260 0.000 3.938
Nd 0.000 0.000 0.000
Ni 0.000 0.000 6.437
Ni 0.000 2.113 2.503
Ni 2.260 0.000 10.243
Ni 2.260 2.113 6.309
Sn 2.260 0.000 7.706
Sn 0.000 0.000 11.312
Sn 2.260 2.113 1.434
Sn 0.000 2.113 5.039
```

Calculated values
**Energy of formation from the pure elements**: -51.21 kJ/mol of atoms
**Raw total energy**: -59.28 eV for the cell shown

---

This record from the Alexandria database describes a relaxed NdNi6Sn2 crystal. The functional is PBE.

```
9
Lattice="3.655 0.000 0.000 0.000 6.419 0.000 -1.828 -3.210 6.235" Properties=species:S:1:pos:R:3 pbc="T T T"
Nd 0.000 3.210 0.000
Ni 1.828 4.500 2.293
Ni 0.000 -1.291 3.941
Ni 0.000 1.291 3.941
Ni 1.828 1.136 0.000
Ni 1.828 5.283 0.000
Ni 1.828 1.919 2.293
Sn 1.828 3.210 4.529
Sn 0.000 0.000 1.705
```

Calculated values
**Energy of formation from the pure elements**: -6.40 kJ/mol of atoms
**Raw total energy**: -48.06 eV for the cell shown

---

This record from the Alexandria database describes a relaxed Nd3NiSn crystal. The functional is PBE.

```
5
Lattice="5.332 0.000 0.000 0.000 5.332 0.000 0.000 0.000 5.332" Properties=species:S:1:pos:R:3 pbc="T T T"
Ni 0.000 0.000 0.000
Nd 0.000 2.666 0.000
Nd 0.000 0.000 2.666
Nd 2.666 0.000 0.000
Sn 2.666 2.666 2.666
```

Calculated values
**Excess energy over the best structure of this formula in the dataset**: 103 meV per atom
**Energy of formation from the pure elements**: -28.94 kJ/mol of atoms
**Raw total energy**: -25.59 eV for the cell shown

---

This record from the Alexandria database describes a relaxed Nd3NiSn3 crystal. The functional is PBE.

```
14
Lattice="-4.152 -0.759 -1.775 -2.288 -5.453 1.779 -8.099 5.427 10.720" Properties=species:S:1:pos:R:3 pbc="T T T"
Nd -7.935 1.124 6.271
Nd -6.603 -1.909 4.453
Nd -3.545 -0.334 2.531
Nd -10.993 -0.451 8.193
Nd -9.744 3.209 9.612
Nd -4.794 -3.995 1.112
Ni -6.537 1.029 3.040
Ni -8.002 -1.814 7.684
Sn -9.639 -1.915 5.651
Sn -4.899 1.129 5.073
Sn -9.888 0.448 11.128
Sn -4.651 -1.234 -0.404
Sn -7.863 -3.997 2.386
Sn -6.676 3.211 8.338
```

Calculated values
**Energy of formation from the pure elements**: -67.80 kJ/mol of atoms
**Raw total energy**: -74.02 eV for the cell shown

---

This record from the Alexandria database describes a relaxed Nd2Ni3Sn crystal. The functional is PBE.

```
12
Lattice="-0.476 -2.159 -5.493 5.783 1.122 -0.600 -1.103 -6.145 5.530" Properties=species:S:1:pos:R:3 pbc="T T T"
Nd 3.667 -2.770 0.942
Nd 4.079 -0.796 -4.683
Nd 0.538 -4.411 -1.504
Nd 1.228 -0.240 -1.410
Ni 4.537 -0.739 -1.369
Ni 2.933 -4.730 3.359
Ni -0.332 -6.442 0.806
Ni 1.272 -2.451 -3.921
Ni 0.499 -2.142 0.799
Ni 3.706 -5.039 -1.361
Sn 3.161 -2.700 -2.233
Sn 1.043 -4.481 1.671
```

Calculated values
**Energy of formation from the pure elements**: -34.67 kJ/mol of atoms
**Raw total energy**: -66.08 eV for the cell shown

---

This record from the Alexandria database describes a relaxed Nd5Ni2Sn crystal. The functional is PBE.

```
16
Lattice="7.963 0.000 0.000 0.000 7.963 0.000 -3.981 -3.981 6.820" Properties=species:S:1:pos:R:3 pbc="T T T"
Nd 1.263 2.718 4.946
Nd 5.244 6.700 1.875
Nd 0.000 0.000 0.000
Nd 3.981 3.981 0.000
Nd -1.263 -2.718 4.946
Nd 2.718 -1.263 4.946
Nd -2.718 1.263 4.946
Nd 1.263 5.244 1.875
Nd 6.700 2.718 1.875
Nd 2.718 1.263 1.875
Ni 1.003 2.979 0.000
Ni 4.984 1.003 0.000
Ni 2.979 6.960 0.000
Ni 6.960 4.984 0.000
Sn 3.981 3.981 3.410
Sn 0.000 0.000 3.410
```

Calculated values
**Energy of formation from the pure elements**: -35.85 kJ/mol of atoms
**Raw total energy**: -84.76 eV for the cell shown

---

no.,total moment (μB per cell)
1,0.00
2,0.00
3,0.00
4,0.00
5,0.00
6,0.00
7,0.00
8,0.00